! CrN, relaxed, DFT PBE; values from VASP
! Formation energy (no corrections), eV per formula unit: -1.03
! SG: I4_1md, No. 109
&SYSTEM
  ibrav = 0, nat = 4, ntyp = 2
/
ATOMIC_SPECIES
Cr 52.00 Cr.upf
N 14.01 N.upf
ATOMIC_POSITIONS crystal
Cr 0.749 0.749 0.498
N 0.919 0.419 0.837
N 0.169 0.169 0.337
Cr 0.499 0.999 0.998
CELL_PARAMETERS angstrom
-2.357 0.232 -1.149
-0.515 -2.523 0.547
-0.432 2.415 4.392

! ZnCd6Ag12, relaxed, DFT PBE; values from VASP
! Relative energy among the computed polymorphs, eV/atom: 0.000
! SG: R-3, No. 148
&SYSTEM
  ibrav = 0, nat = 19, ntyp = 3
/
ATOMIC_SPECIES
Ag 107.87 Ag.upf
Cd 112.41 Cd.upf
Zn 65.41 Zn.upf
ATOMIC_POSITIONS crystal
Ag 0.366 0.044 0.147
Cd 0.268 0.720 0.885
Ag 0.448 0.794 0.532
Ag 0.634 0.956 0.853
Ag 0.794 0.532 0.448
Ag 0.552 0.206 0.468
Ag 0.853 0.634 0.956
Ag 0.468 0.552 0.206
Cd 0.732 0.280 0.115
Ag 0.532 0.448 0.794
Cd 0.280 0.115 0.732
Cd 0.720 0.885 0.268
Ag 0.147 0.366 0.044
Cd 0.115 0.732 0.280
Zn 0.000 0.000 0.000
Cd 0.885 0.268 0.720
Ag 0.956 0.853 0.634
Ag 0.044 0.147 0.366
Ag 0.206 0.468 0.552
CELL_PARAMETERS angstrom
-2.718 5.891 -3.004
2.272 -2.426 -6.330
-6.219 -3.461 -0.676

! Li2Tl3InBr6, relaxed, DFT PBE; values from VASP
! Formation energy (no corrections), eV per formula unit: -12.10
! SG: C2/m, No. 12
&SYSTEM
  ibrav = 0, nat = 12, ntyp = 4
/
ATOMIC_SPECIES
Tl 204.38 Tl.upf
Br 79.90 Br.upf
Li 6.94 Li.upf
In 114.82 In.upf
ATOMIC_POSITIONS crystal
Tl 0.838 0.167 0.676
Br 0.684 0.561 0.368
Br 0.034 0.272 0.069
Tl 0.500 0.500 0.000
Li 0.825 0.602 0.650
Br 0.672 0.085 0.344
In 0.500 0.000 0.000
Br 0.328 0.915 0.656
Br 0.316 0.439 0.632
Br 0.966 0.728 0.931
Li 0.175 0.398 0.350
Tl 0.162 0.833 0.324
CELL_PARAMETERS angstrom
4.524 0.000 0.000
0.000 9.368 0.106
-2.262 -2.919 9.299

What is the formula in the third record?
Li2Tl3InBr6